No. 1
A geometry-optimized PmErTmZn structure, computed with GGA-PBE.

Properties
Space-group type = F-43m, No. 216
E_form = 33 meV per atom
E above lowest polymorph = 0.200 eV/atom
Total moment = 0.00 μB per atom
Energy = -0.274 Ry per atom

Structure (POSCAR):
```
PmErTmZn
1.0
-3.758 3.729 0.681
-2.923 0.059 4.465
0.707 3.875 3.602
Pm Er Zn Tm
1 1 1 1
direct
0.750 0.750 0.750
0.250 0.250 0.250
0.000 0.000 0.000
0.500 0.500 0.500
```



No. 2
A geometry-optimized Pm2Er3Tm6Zr structure, computed with GGA-PBE.

Properties
Space-group type = C2/m, No. 12
E_form = 52 meV per atom
Total moment = 0.00 μB per atom
Energy = -0.355 Ry per atom

Structure (POSCAR):
```
Pm2Er3Tm6Zr
1.0
-5.550 -1.884 1.472
2.972 -2.641 -4.550
5.333 -6.003 8.302
Er Tm Zr Pm
3 6 1 2
direct
0.500 0.500 0.500
0.834 0.166 0.500
0.166 0.834 0.500
0.409 0.083 0.248
0.244 0.244 0.753
0.083 0.409 0.248
0.591 0.917 0.752
0.756 0.756 0.247
0.917 0.591 0.752
0.000 0.000 0.000
0.667 0.333 0.000
0.333 0.667 0.000
```



Q: The lowest energy belongs to which entry?
A: Pm2Er3Tm6Zr